ZrAl2Zn: optimized geometry, GGA-PBEsol.

a = 4.0533 Å, b = 4.0533 Å, c = 4.0000 Å
α = 90.00°, β = 90.00°, γ = 90.00°
Last column: nearest neighbours and their distance in Å.
Space group P4/mmm (No. 123)
Asymmetric unit:
Zr 0.0000 0.0000 0.0000 x1  8 Al 2.85, 4 Zn 2.87
Al 0.0000 0.5000 0.5000 x2  4 Zr 2.85, 4 Zn 2.85, 4 Al 2.87
Zn 0.5000 0.5000 0.0000 x1  8 Al 2.85, 4 Zr 2.87

Properties
- Fermi-level density of states (states/eV/f.u.) = 0.971
- ρ (Mg/m³) = 5.32
- formation enthalpy at 0 K (eV/f.u.) = -1.97
- energy (eV for the cell shown) = -20.82
- size of the total moment (μB/f.u.) = 0.000

***

Sc2RhAuCl: optimized geometry, GGA-PBEsol.

a = 4.8669 Å, b = 4.8669 Å, c = 4.9694 Å
α = 90.00°, β = 90.00°, γ = 90.00°
Last column: nearest neighbours and their distance in Å.
Space group P4/mmm (No. 123)
Asymmetric unit:
Sc 0.0000 0.5000 0.0000 x2  2 Rh 2.43
Rh 0.0000 0.0000 0.0000 x1  4 Sc 2.43, 2 Au 2.48
Au 0.0000 0.0000 0.5000 x1  2 Rh 2.48
Cl 0.5000 0.5000 0.5000 x1  4 Au 3.44, 8 Sc 3.48

Properties
- Fermi-level density of states (states/eV/f.u.) = 3.271
- energy relative to the elements, uncorrected (eV/atom) = -0.23
- ρ (Mg/m³) = 6.00
- energy (eV for the cell shown) = -28.45
- size of the total moment (μB/f.u.) = 0.001

***

ScPdF2: optimized geometry, GGA-PBEsol.

a = 3.0093 Å, b = 3.0093 Å, c = 23.5101 Å
α = 90.00°, β = 90.00°, γ = 120.00°
Last column: nearest neighbours and their distance in Å.
Space group R-3m (No. 166, hexagonal axes)
Asymmetric unit:
Sc 0.0000 0.0000 0.0000 x3  2 F 1.92
Pd 0.0000 0.0000 0.5000 x3  6 F 2.65
F 0.0000 0.0000 0.0817 x6  1 Sc 1.92

Properties
- Fermi-level density of states (states/eV/f.u.) = 4.439
- energy relative to the elements, uncorrected (eV/atom) = -1.32
- ρ (Mg/m³) = 5.12
- energy (eV for the cell shown) = -65.12
- size of the total moment (μB/f.u.) = 0.572